Material: Cr2HgP
Method: DFT, GGA-PBEsol
State: relaxed

Properties
Its formation energy is 0.496 eV per atom. For the raw total energy, the calculation gives -6.2146 eV per atom. For the density of states at the Fermi level, the calculation gives 4.1 states/eV per cell. The symmetry is P4/mmm, No. 123.

```
data_Cr2HgP
_symmetry_space_group_name_H-M 'P 1'
_symmetry_Int_Tables_number 1
_symmetry_space_group_name_Hall 'P 1'
_cell_length_a 3.323
_cell_length_b 4.208
_cell_length_c 4.208
_cell_angle_alpha 89.94
_cell_angle_beta 90.00
_cell_angle_gamma 90.00
loop_
_atom_site_label
_atom_site_type_symbol
_atom_site_fract_x
_atom_site_fract_y
_atom_site_fract_z
Cr1 Cr 0.000 0.000 0.500
Cr2 Cr 0.000 0.500 0.000
Hg1 Hg 0.500 0.000 0.000
P1 P 0.500 0.500 0.500
```

Material: Cr2HgP
Method: DFT, GGA-PBEsol
State: relaxed

Properties
Its formation energy is 0.329 eV per atom. For the raw total energy, the calculation gives -6.3814 eV per atom. For the density of states at the Fermi level, the calculation gives 4.6 states/eV per cell. The symmetry is Immm, No. 71.

```
data_Cr2HgP
_symmetry_space_group_name_H-M 'P 1'
_symmetry_Int_Tables_number 1
_symmetry_space_group_name_Hall 'P 1'
_cell_length_a 3.435
_cell_length_b 4.600
_cell_length_c 4.600
_cell_angle_alpha 60.43
_cell_angle_beta 68.08
_cell_angle_gamma 68.08
loop_
_atom_site_label
_atom_site_type_symbol
_atom_site_fract_x
_atom_site_fract_y
_atom_site_fract_z
Cr1 Cr 0.300 0.700 0.700
Cr2 Cr 0.700 0.300 0.300
P1 P 0.000 0.500 0.500
Hg1 Hg 0.500 0.000 0.000
```

Material: CrHgP2
Method: DFT, GGA-PBEsol
State: relaxed

Properties
Its formation energy is 0.680 eV per atom. For the raw total energy, the calculation gives -4.9179 eV per atom. For the density of states at the Fermi level, the calculation gives 2.8 states/eV per cell. The symmetry is F-43m, No. 216.

```
data_CrHgP2
_symmetry_space_group_name_H-M 'P 1'
_symmetry_Int_Tables_number 1
_symmetry_space_group_name_Hall 'P 1'
_cell_length_a 4.533
_cell_length_b 4.533
_cell_length_c 4.533
_cell_angle_alpha 60.00
_cell_angle_beta 60.00
_cell_angle_gamma 60.00
loop_
_atom_site_label
_atom_site_type_symbol
_atom_site_fract_x
_atom_site_fract_y
_atom_site_fract_z
Hg1 Hg 0.250 0.250 0.250
P1 P 0.750 0.750 0.750
P2 P 0.000 0.000 0.000
Cr1 Cr 0.500 0.500 0.500
```

Material: Cr2HgP
Method: DFT, GGA-PBEsol
State: relaxed

Properties
Its formation energy is 0.131 eV per atom. For the raw total energy, the calculation gives -6.5800 eV per atom. For the density of states at the Fermi level, the calculation gives 3.1 states/eV per cell. The symmetry is R-3m, No. 166.

```
data_Cr2HgP
_symmetry_space_group_name_H-M 'P 1'
_symmetry_Int_Tables_number 1
_symmetry_space_group_name_Hall 'P 1'
_cell_length_a 3.385
_cell_length_b 3.385
_cell_length_c 6.535
_cell_angle_alpha 74.99
_cell_angle_beta 74.99
_cell_angle_gamma 60.00
loop_
_atom_site_label
_atom_site_type_symbol
_atom_site_fract_x
_atom_site_fract_y
_atom_site_fract_z
P1 P 0.000 0.000 0.000
Cr1 Cr 0.722 0.722 0.833
Cr2 Cr 0.278 0.278 0.167
Hg1 Hg 0.500 0.500 0.500
```